[1]
DFT (PBE) results for an optimized crystal structure of Mn2Si2Ru.

CIF file:
```
data_Mn2Si2Ru
_cell_length_a 6.3398
_cell_length_b 6.3398
_cell_length_c 3.1824
_cell_angle_alpha 90.00
_cell_angle_beta 90.00
_cell_angle_gamma 90.00
_space_group_name_H-M_alt 'P 1'
_space_group_IT_number 1
loop_
_space_group_symop_operation_xyz
'x,y,z'
loop_
_atom_site_label
_atom_site_type_symbol
_atom_site_fract_x
_atom_site_fract_y
_atom_site_fract_z
_atom_site_occupancy
Mn1 Mn 0.1622 0.6622 0.5000 1
Mn2 Mn 0.3378 0.1622 0.5000 1
Mn3 Mn 0.8378 0.3378 0.5000 1
Mn4 Mn 0.6622 0.8378 0.5000 1
Si1 Si 0.6356 0.1356 0.0000 1
Si2 Si 0.1356 0.3644 0.0000 1
Si3 Si 0.3644 0.8644 0.0000 1
Si4 Si 0.8644 0.6356 0.0000 1
Ru1 Ru 0.0000 0.0000 0.0000 1
Ru2 Ru 0.5000 0.5000 0.0000 1
```

Summary:
**DFT total energy**: -8.003 eV per atom



[2]
DFT (PBE) results for an optimized crystal structure of La2Nd7Tm.

CIF file:
```
data_La2Nd7Tm
_cell_length_a 3.5313
_cell_length_b 15.1458
_cell_length_c 15.1459
_cell_angle_alpha 154.04
_cell_angle_beta 90.00
_cell_angle_gamma 90.00
_space_group_name_H-M_alt 'P 1'
_space_group_IT_number 1
loop_
_space_group_symop_operation_xyz
'x,y,z'
loop_
_atom_site_label
_atom_site_type_symbol
_atom_site_fract_x
_atom_site_fract_y
_atom_site_fract_z
_atom_site_occupancy
Nd1 Nd 0.5000 0.3404 0.1451 1
Nd2 Nd 0.0000 0.8126 0.1874 1
Nd3 Nd 0.5000 0.5000 0.5000 1
Nd4 Nd 0.0000 0.1874 0.8126 1
Nd5 Nd 0.5000 0.1451 0.3404 1
Nd6 Nd 0.5000 0.8549 0.6596 1
Nd7 Nd 0.5000 0.6596 0.8549 1
La1 La 0.5000 0.2950 0.7050 1
La2 La 0.5000 0.7050 0.2950 1
Tm1 Tm 0.0000 0.0000 0.0000 1
```

Summary:
**Formation energy**: 13.6 kJ per mole of atoms